(1)
BeAgPd2 | PBE | optimized geometry

- total magnetization (μB/f.u.) = 0.00
- energy relative to the elements (eV/f.u.) = -1.1
- total energy (eV per atom) = -4.506

a b c (Å): 2.8886 2.8886 23.7663
angles (deg): 90.00 90.00 120.00
Space group R-3m (No. 166, hexagonal axes)
Symmetry-distinct sites (fractional):
Be (0.0000, 0.0000, 0.0000)
Ag (0.0000, 0.0000, 0.5000)
Pd (0.0000, 0.0000, 0.2667)

(2)
PrMg3Se4O12 | PBE | optimized geometry

- total magnetization (μB/f.u.) = 0.00
- total energy (eV per atom) = -5.541

a b c (Å): 10.7660 10.7660 8.0253
angles (deg): 90.00 90.00 120.00
Space group R32 (No. 155, hexagonal axes)
Symmetry-distinct sites (fractional):
Pr (0.0000, 0.0000, 0.0000)
Mg (0.0000, 0.5779, 0.0000)
Se (0.0000, 0.0000, 0.5000)
Se (0.0000, 0.3941, 0.5000)
O (0.0000, 0.5544, 0.5000)
O (0.0000, 0.8278, 0.5000)
O (0.0551, 0.1924, 0.1968)

(3)
Sc2ZnO2 | PBE | optimized geometry

- total magnetization (μB/f.u.) = 0.00
- ΔE to the lowest computed polymorph (eV per atom) = 0.827
- total energy (eV per atom) = -6.239

a b c (Å): 6.8226 6.8226 2.8059
angles (deg): 90.00 90.00 90.00
Space group P4/mbm (No. 127)
Symmetry-distinct sites (fractional):
Sc (0.1456, 0.3544, 0.0000)
Zn (0.0000, 0.0000, 0.0000)
O (0.1296, 0.6296, 0.5000)

(4)
Pm7MgRh4 | PBE | optimized geometry

- total magnetization (μB/f.u.) = 0.00
- energy relative to the elements (eV/f.u.) = -4.0
- total energy (eV per atom) = -5.686

a b c (Å): 13.6542 5.6375 9.8836
angles (deg): 90.00 124.93 90.00
Space group C2/m (No. 12)
Symmetry-distinct sites (fractional):
Pm (0.0000, 0.0000, 0.0000)
Pm (0.0812, 0.5000, 0.3793)
Pm (0.1748, 0.0000, 0.6273)
Pm (0.2071, 0.5000, 0.8809)
Mg (0.0000, 0.5000, 0.0000)
Rh (0.0651, 0.0000, 0.7797)
Rh (0.1994, 0.0000, 0.3362)

(5)
Ca3Ga2Pb2 | PBE | optimized geometry

- total magnetization (μB/f.u.) = 0.00
- energy relative to the elements (eV/f.u.) = -3.3
- total energy (eV per atom) = -3.259

a b c (Å): 11.7816 4.3125 8.6591
angles (deg): 90.00 115.03 90.00
Space group C2/m (No. 12)
Symmetry-distinct sites (fractional):
Ca (0.0000, 0.0000, 0.0000)
Ca (0.1803, 0.0000, 0.6552)
Ga (0.1879, 0.5000, 0.9565)
Pb (0.0414, 0.5000, 0.3348)

(6)
LaSnSb2I | PBE | optimized geometry

- total magnetization (μB/f.u.) = 0.16
- ΔE to the lowest computed polymorph (eV per atom) = 0.000
- total energy (eV per atom) = -3.754

a b c (Å): 5.6375 5.6375 5.7955
angles (deg): 90.00 90.00 90.00
Space group P4/mmm (No. 123)
Symmetry-distinct sites (fractional):
La (0.0000, 0.0000, 0.0000)
Sn (0.5000, 0.5000, 0.5000)
Sb (0.0000, 0.5000, 0.5000)
I (0.5000, 0.5000, 0.0000)